# 1
This record from Alexandria via LeMat-Bulk describes Cu3TePbO8 at its PBEsol-relaxed geometry. The functional is meta-GGA SCAN.

Unit cell a=5.605 b=5.605 c=12.702 alpha=96.47 beta=96.47 gamma=119.29
Last column: magnetic moment on the atom in μB.
Fractional positions:
O 0.299 0.541 0.080  0.05
O 0.311 0.037 0.188  0.00
O 0.791 0.049 0.580  0.05
O 0.790 0.531 0.580  0.05
O 0.877 0.150 0.188  0.00
O 0.786 0.078 0.989  0.02
O 0.400 0.627 0.688  0.00
O 0.203 0.912 0.989  0.02
O 0.697 0.458 0.872  0.05
O 0.328 0.536 0.489  0.02
O 0.162 0.953 0.489  0.02
O 0.665 0.925 0.372  0.05
O 0.287 0.061 0.688  0.00
O 0.781 0.540 0.080  0.05
O 0.175 0.415 0.872  0.05
O 0.708 0.447 0.372  0.05
Cu 0.487 0.487 0.973  0.50
Cu 0.296 0.796 0.591  0.02
Cu 0.547 0.047 0.094  0.21
Cu 0.046 0.046 0.091  0.02
Cu 0.297 0.297 0.594  0.21
Cu 0.737 0.237 0.473  0.50
Te 0.988 0.488 0.977  0.00
Te 0.738 0.738 0.477  0.00
Pb 0.885 0.885 0.771  0.01
Pb 0.135 0.635 0.271  0.01

Properties
Formation energy from raw total energies in eV/atom: -0.803
SG: Fdd2, No. 43


# 2
This record from Alexandria via LeMat-Bulk describes InTeAs2Se at its PBEsol-relaxed geometry. The functional is meta-GGA SCAN.

Unit cell a=5.265 b=5.265 c=5.357 alpha=90.00 beta=90.00 gamma=90.00
Fractional positions:
Te 0.000 0.000 0.000
In 0.500 0.500 0.500
As 0.000 0.500 0.000
As 0.500 0.000 0.000
Se 0.000 0.000 0.500

Properties
Formation energy from raw total energies in eV/atom: 0.680
SG: P4/mmm, No. 123


# 3
This record from Alexandria via LeMat-Bulk describes CaFeGe2Pd at its PBEsol-relaxed geometry. The functional is meta-GGA SCAN.

Unit cell a=4.717 b=4.717 c=5.169 alpha=90.00 beta=90.00 gamma=90.00
Last column: magnetic moment on the atom in μB.
Fractional positions:
Ge 0.000 0.500 0.000  -0.03
Ge 0.500 0.000 0.000  -0.03
Fe 0.500 0.500 0.500  3.24
Ca 0.000 0.000 0.500  -0.03
Pd 0.000 0.000 0.000  -0.02

Properties
ΔH_f (0 K) in eV/atom: 0.349
SG: P4/mmm, No. 123


# 4
This record from Alexandria via LeMat-Bulk describes Ba2CdAu at its PBEsol-relaxed geometry. The functional is meta-GGA SCAN.

Unit cell a=4.614 b=4.962 c=6.521 alpha=90.00 beta=110.72 gamma=90.00
Fractional positions:
Au 0.690 0.500 0.380
Cd 0.560 0.000 0.120
Ba 0.266 0.000 0.533
Ba 0.984 0.500 0.967

Properties
ΔH_f (0 K) in eV/atom: -0.590
SG: Amm2, No. 38


# 5
This record from Alexandria via LeMat-Bulk describes Sc2PbO2 at its PBEsol-relaxed geometry. The functional is meta-GGA SCAN.

Unit cell a=3.591 b=3.591 c=7.102 alpha=104.64 beta=104.64 gamma=90.00
Fractional positions:
Sc 0.325 0.325 0.651
Sc 0.675 0.675 0.349
O 0.250 0.750 0.500
O 0.750 0.250 0.500
Pb 0.000 0.000 0.000

Properties
Formation energy from raw total energies in eV/atom: -2.725
SG: I4/mmm, No. 139


# 6
This record from Alexandria via LeMat-Bulk describes TePb2Cl2 at its PBEsol-relaxed geometry. The functional is meta-GGA SCAN.

Unit cell a=5.388 b=5.388 c=6.316 alpha=115.25 beta=115.25 gamma=90.00
Fractional positions:
Pb 0.750 0.250 0.500
Pb 0.250 0.750 0.500
Cl 0.647 0.647 0.294
Cl 0.353 0.353 0.706
Te 0.000 0.000 0.000

Properties
Formation energy from raw total energies in eV/atom: -0.530
SG: I4/mmm, No. 139


# 7
This record from Alexandria via LeMat-Bulk describes LiTaIr at its PBEsol-relaxed geometry. The functional is meta-GGA SCAN.

Unit cell a=3.954 b=3.954 c=3.954 alpha=60.00 beta=60.00 gamma=60.00
Fractional positions:
Li 0.250 0.250 0.250
Ta 0.000 0.000 0.000
Ir 0.500 0.500 0.500

Properties
ΔH_f (0 K) in eV/atom: 0.349
SG: F-43m, No. 216
Polymorph energy (0 for the lowest one) in meV/atom: 684.2


# 8
This record from Alexandria via LeMat-Bulk describes BaTa2Mn at its PBEsol-relaxed geometry. The functional is meta-GGA SCAN.

Unit cell a=3.199 b=3.199 c=8.407 alpha=90.00 beta=90.00 gamma=90.00
Last column: magnetic moment on the atom in μB.
Fractional positions:
Ta 0.500 0.500 0.176  -0.26
Ta 0.000 0.000 0.973  -0.57
Mn 0.500 0.500 0.830  3.06
Ba 0.000 0.000 0.521  -0.05

Properties
ΔH_f (0 K) in eV/atom: 0.548
SG: P4mm, No. 99
Polymorph energy (0 for the lowest one) in meV/atom: 0.0


# 9
This record from Alexandria via LeMat-Bulk describes Nb2AlCo2 at its PBEsol-relaxed geometry. The functional is meta-GGA SCAN.

Unit cell a=3.076 b=6.784 c=6.784 alpha=90.00 beta=90.00 gamma=90.00
Last column: magnetic moment on the atom in μB.
Fractional positions:
Nb 0.500 0.174 0.674  -0.01
Nb 0.500 0.826 0.326  -0.01
Nb 0.500 0.326 0.174  -0.01
Nb 0.500 0.674 0.826  -0.01
Al 0.000 0.000 0.000  0.00
Al 0.000 0.500 0.500  0.00
Co 0.000 0.373 0.873  0.05
Co 0.000 0.627 0.127  0.05
Co 0.000 0.127 0.373  0.05
Co 0.000 0.873 0.627  0.05

Properties
ΔH_f (0 K) in eV/atom: -0.217
SG: P4/mbm, No. 127


# 10
This record from Alexandria via LeMat-Bulk describes LiInCl at its PBEsol-relaxed geometry. The functional is meta-GGA SCAN.

Unit cell a=5.002 b=5.002 c=5.002 alpha=60.00 beta=60.00 gamma=60.00
Last column: magnetic moment on the atom in μB.
Fractional positions:
In 0.750 0.750 0.750  -0.07
Li 0.000 0.000 0.000  -0.01
Cl 0.500 0.500 0.500  -0.04

Properties
Formation energy from raw total energies in eV/atom: -0.232
SG: F-43m, No. 216
Polymorph energy (0 for the lowest one) in meV/atom: 131.5


# 11
This record from Alexandria via LeMat-Bulk describes Sc2InPt at its PBEsol-relaxed geometry. The functional is meta-GGA SCAN.

Unit cell a=3.469 b=3.469 c=6.538 alpha=90.00 beta=90.00 gamma=90.00
Last column: magnetic moment on the atom in μB.
Fractional positions:
Pt 0.500 0.500 0.763  0.01
Sc 0.000 0.000 0.963  0.30
Sc 0.500 0.500 0.259  0.55
In 0.000 0.000 0.516  -0.01

Properties
ΔH_f (0 K) in eV/atom: -0.735
SG: P4mm, No. 99


# 12
This record from Alexandria via LeMat-Bulk describes CdCuRu2 at its PBEsol-relaxed geometry. The functional is meta-GGA SCAN.

Unit cell a=4.324 b=4.324 c=4.324 alpha=60.00 beta=60.00 gamma=60.00
Fractional positions:
Ru 0.750 0.750 0.750
Ru 0.000 0.000 0.000
Cu 0.250 0.250 0.250
Cd 0.500 0.500 0.500

Properties
ΔH_f (0 K) in eV/atom: 0.435
SG: F-43m, No. 216


# 13
This record from Alexandria via LeMat-Bulk describes NaFeRuO4 at its PBEsol-relaxed geometry. The functional is meta-GGA SCAN.

Unit cell a=2.757 b=9.102 c=10.665 alpha=90.00 beta=90.00 gamma=90.00
Last column: magnetic moment on the atom in μB.
Fractional positions:
O 0.750 0.610 0.016  0.05
O 0.250 0.985 0.292  0.19
O 0.250 0.277 0.661  0.09
O 0.750 0.515 0.792  0.19
O 0.750 0.110 0.484  0.05
O 0.250 0.890 0.516  0.05
O 0.250 0.485 0.208  0.19
O 0.750 0.015 0.708  0.19
O 0.250 0.777 0.839  0.09
O 0.750 0.916 0.067  0.06
O 0.250 0.084 0.933  0.06
O 0.750 0.723 0.339  0.09
O 0.250 0.584 0.567  0.06
O 0.750 0.416 0.433  0.06
O 0.750 0.223 0.161  0.09
O 0.250 0.390 0.984  0.05
Ru 0.250 0.568 0.380  0.57
Ru 0.750 0.432 0.620  0.57
Ru 0.250 0.068 0.120  0.57
Ru 0.750 0.932 0.880  0.57
Na 0.250 0.242 0.348  0.00
Na 0.750 0.758 0.652  0.00
Na 0.250 0.742 0.152  0.00
Na 0.750 0.258 0.848  0.00
Fe 0.250 0.577 0.898  1.26
Fe 0.250 0.077 0.602  1.26
Fe 0.750 0.923 0.398  1.26
Fe 0.750 0.423 0.102  1.26

Properties
Formation energy from raw total energies in eV/atom: -1.488
SG: Pnma, No. 62


# 14
This record from Alexandria via LeMat-Bulk describes LiMg2Ru at its PBEsol-relaxed geometry. The functional is meta-GGA SCAN.

Unit cell a=2.900 b=2.900 c=9.505 alpha=81.23 beta=81.23 gamma=60.00
Last column: magnetic moment on the atom in μB.
Fractional positions:
Mg 0.758 0.758 0.726  0.00
Mg 0.242 0.242 0.274  0.00
Li 0.000 0.000 0.000  0.01
Ru 0.500 0.500 0.500  -0.18

Properties
ΔH_f (0 K) in eV/atom: 0.074
SG: R-3m, No. 166


# 15
This record from Alexandria via LeMat-Bulk describes Hf3CdRu at its PBEsol-relaxed geometry. The functional is meta-GGA SCAN.

Unit cell a=4.900 b=4.900 c=4.900 alpha=90.00 beta=90.00 gamma=90.00
Fractional positions:
Hf 0.000 0.500 0.000
Hf 0.000 0.000 0.500
Hf 0.500 0.000 0.000
Ru 0.000 0.000 0.000
Cd 0.500 0.500 0.500

Properties
ΔH_f (0 K) in eV/atom: 0.256
SG: Pm-3m, No. 221


# 16
This record from Alexandria via LeMat-Bulk describes Ni3W at its PBEsol-relaxed geometry. The functional is meta-GGA SCAN.

Unit cell a=2.606 b=3.574 c=5.001 alpha=90.00 beta=90.00 gamma=90.00
Fractional positions:
Ni 0.500 0.500 0.500
Ni 0.000 0.000 0.742
Ni 0.000 0.000 0.258
W 0.500 0.500 0.000

Properties
ΔH_f (0 K) in eV/atom: 0.045
SG: Pmmm, No. 47


# 17
This record from Alexandria via LeMat-Bulk describes HgBiB2 at its PBEsol-relaxed geometry. The functional is meta-GGA SCAN.

Unit cell a=4.578 b=4.578 c=4.578 alpha=60.00 beta=60.00 gamma=60.00
Fractional positions:
Bi 0.500 0.500 0.500
Hg 0.000 0.000 0.000
B 0.750 0.750 0.750
B 0.250 0.250 0.250

Properties
ΔH_f (0 K) in eV/atom: 1.777
SG: Fm-3m, No. 225
Polymorph energy (0 for the lowest one) in meV/atom: 591.5


# 18
This record from Alexandria via LeMat-Bulk describes Pm2ZnSi at its PBEsol-relaxed geometry. The functional is meta-GGA SCAN.

Unit cell a=5.037 b=5.037 c=5.037 alpha=60.00 beta=60.00 gamma=60.00
Fractional positions:
Zn 0.000 0.000 0.000
Pm 0.250 0.250 0.250
Pm 0.750 0.750 0.750
Si 0.500 0.500 0.500

Properties
Formation energy from raw total energies in eV/atom: -0.481
SG: Fm-3m, No. 225


# 19
This record from Alexandria via LeMat-Bulk describes KGa2Ge2 at its PBEsol-relaxed geometry. The functional is meta-GGA SCAN.

Unit cell a=4.632 b=4.632 c=6.029 alpha=112.59 beta=112.59 gamma=90.00
Fractional positions:
Ge 0.626 0.626 0.252
Ge 0.374 0.374 0.748
K 0.000 0.000 0.000
Ga 0.250 0.750 0.500
Ga 0.750 0.250 0.500

Properties
ΔH_f (0 K) in eV/atom: -0.141
SG: I4/mmm, No. 139


# 20
This record from Alexandria via LeMat-Bulk describes Y3AgW at its PBEsol-relaxed geometry. The functional is meta-GGA SCAN.

Unit cell a=5.288 b=5.288 c=5.288 alpha=90.00 beta=90.00 gamma=90.00
Last column: magnetic moment on the atom in μB.
Fractional positions:
W 0.500 0.500 0.500  2.54
Y 0.000 0.000 0.500  -0.14
Y 0.000 0.500 0.000  -0.14
Y 0.500 0.000 0.000  -0.14
Ag 0.000 0.000 0.000  -0.06

Properties
ΔH_f (0 K) in eV/atom: 1.111
SG: Pm-3m, No. 221


# 21
This record from Alexandria via LeMat-Bulk describes CrCd2W at its PBEsol-relaxed geometry. The functional is meta-GGA SCAN.

Unit cell a=2.838 b=4.851 c=5.130 alpha=99.85 beta=106.06 gamma=90.00
Last column: magnetic moment on the atom in μB.
Fractional positions:
Cr 0.500 0.000 0.000  3.22
Cd 0.247 0.247 0.494  -0.03
Cd 0.753 0.753 0.506  -0.03
W 0.000 0.500 0.000  -0.60

Properties
ΔH_f (0 K) in eV/atom: 0.587
SG: C2/m, No. 12
Polymorph energy (0 for the lowest one) in meV/atom: 0.0


# 22
This record from Alexandria via LeMat-Bulk describes YMn3P at its PBEsol-relaxed geometry. The functional is meta-GGA SCAN.

Unit cell a=4.250 b=4.250 c=4.250 alpha=90.00 beta=90.00 gamma=90.00
Last column: magnetic moment on the atom in μB.
Fractional positions:
Mn 0.000 0.000 0.500  3.14
Mn 0.000 0.500 0.000  3.14
Mn 0.500 0.000 0.000  3.14
P 0.000 0.000 0.000  -0.16
Y 0.500 0.500 0.500  -0.47

Properties
ΔH_f (0 K) in eV/atom: -0.187
SG: Pm-3m, No. 221


# 23
This record from Alexandria via LeMat-Bulk describes RbPb2Br5 at its PBEsol-relaxed geometry. The functional is meta-GGA SCAN.

Unit cell a=8.325 b=9.331 c=8.325 alpha=116.49 beta=90.00 gamma=116.49
Fractional positions:
Rb 0.250 0.500 0.250
Rb 0.750 0.500 0.750
Br 0.982 0.270 0.788
Br 0.482 0.270 0.982
Br 0.018 0.730 0.212
Br 0.500 0.000 0.500
Br 0.212 0.730 0.712
Br 0.788 0.270 0.288
Br 0.288 0.270 0.482
Br 0.712 0.730 0.518
Br 0.518 0.730 0.018
Br 0.000 0.000 0.000
Pb 0.338 0.000 0.162
Pb 0.838 0.000 0.338
Pb 0.162 0.000 0.662
Pb 0.662 0.000 0.838

Properties
Formation energy from raw total energies in eV/atom: -1.227
SG: I4/mcm, No. 140


# 24
This record from Alexandria via LeMat-Bulk describes RbPOsCl2 at its PBEsol-relaxed geometry. The functional is meta-GGA SCAN.

Unit cell a=4.430 b=5.097 c=5.097 alpha=90.00 beta=90.00 gamma=90.00
Fractional positions:
Os 0.000 0.000 0.000
Cl 0.000 0.000 0.500
Cl 0.000 0.500 0.000
P 0.500 0.000 0.000
Rb 0.500 0.500 0.500

Properties
Formation energy from raw total energies in eV/atom: -0.438
SG: P4/mmm, No. 123


# 25
This record from Alexandria via LeMat-Bulk describes Tc2RuRh at its PBEsol-relaxed geometry. The functional is meta-GGA SCAN.

Unit cell a=2.693 b=4.284 c=4.699 alpha=90.00 beta=90.00 gamma=90.00
Fractional positions:
Ru 0.500 0.500 0.205
Rh 0.500 0.000 0.545
Tc 0.000 0.000 0.039
Tc 0.000 0.500 0.710

Properties
ΔH_f (0 K) in eV/atom: -0.162
SG: Pmm2, No. 25


# 26
This record from Alexandria via LeMat-Bulk describes LiCaRh2 at its PBEsol-relaxed geometry. The functional is meta-GGA SCAN.

Unit cell a=3.882 b=3.882 c=4.201 alpha=90.00 beta=90.00 gamma=90.00
Fractional positions:
Ca 0.500 0.500 0.500
Rh 0.000 0.500 0.000
Rh 0.500 0.000 0.000
Li 0.000 0.000 0.500

Properties
ΔH_f (0 K) in eV/atom: -0.095
SG: P4/mmm, No. 123